[1]
BeMoPS2: relaxed, PBE.

a b c (Å): 4.337 4.337 4.140
angles (deg): 90.00 90.00 90.00
Each line ends with the local moment (μB).
Sites, in units of the cell vectors:
S 0.500 0.000 0.000  -0.12
S 0.000 0.500 0.000  -0.12
P 0.000 0.000 0.500  -0.13
Be 0.000 0.000 0.000  0.03
Mo 0.500 0.500 0.500  2.58

Properties
Its total magnetization is 2.48 μB/cell. The value obtained for the energy relative to the elements, uncorrected is 0.664 eV/atom. As for the relative energy among the computed polymorphs: 0.00 eV per formula unit. The value obtained for the density of states at the Fermi level is 0.44 states/eV/atom.


[2]
SrBeMoP2: relaxed, PBE.

a b c (Å): 5.420 5.917 5.420
angles (deg): 90.00 90.00 90.00
Each line ends with the local moment (μB).
Sites, in units of the cell vectors:
Sr 0.000 0.000 0.000  0.07
P 0.000 0.000 0.500  -0.17
Mo 0.000 0.500 0.000  3.83
P 0.500 0.000 0.000  -0.15
Be 0.500 0.500 0.500  -0.11

Properties
Its total magnetization is 4.00 μB/cell. The formation energy comes out at 2.38 eV/atom. The value obtained for the density of states at the Fermi level is 1.04 states/eV/atom.


[3]
TiBeMoP2: relaxed, PBE.

a b c (Å): 4.209 3.942 4.209
angles (deg): 90.00 90.00 90.00
Sites, in units of the cell vectors:
P 0.500 0.000 0.000
Ti 0.000 0.500 0.000
P 0.000 0.000 0.500
Be 0.000 0.000 0.000
Mo 0.500 0.500 0.500

Properties
Its total magnetization is 0.00 μB/cell. The formation energy comes out at 0.60 eV/atom. The value obtained for the density of states at the Fermi level is 0.88 states/eV/atom.


- What is the formula in the second record?
  SrBeMoP2